# 1
# BiIrNO2 PBE-GGA optimized geometry
data_BiIrNO2
_space_group_name_H-M_alt 'P 4/m m m'
_space_group_IT_number 123
_space_group_name_Hall '-P 4 2'
_cell_length_a 4.150
_cell_length_b 4.150
_cell_length_c 4.372
_cell_angle_alpha 90.00
_cell_angle_beta 90.00
_cell_angle_gamma 90.00
loop_
_atom_site_label
_atom_site_type_symbol
_atom_site_fract_x
_atom_site_fract_y
_atom_site_fract_z
_atom_site_occupancy
Bi1 Bi 0.000 0.000 0.000 1
Ir1 Ir 0.500 0.500 0.500 1
N1 N 0.000 0.000 0.500 1
O1 O 0.000 0.500 0.000 1
# Formation energy (no corrections) ... 1.30 eV/atom
# Total magnetization ... 2.75 μB per cell
# E ... -4.899 eV per atom


# 2
# BiIrNO2 PBE-GGA optimized geometry
data_BiIrNO2
_space_group_name_H-M_alt 'P 4/m m m'
_space_group_IT_number 123
_space_group_name_Hall '-P 4 2'
_cell_length_a 4.189
_cell_length_b 4.189
_cell_length_c 3.757
_cell_angle_alpha 90.00
_cell_angle_beta 90.00
_cell_angle_gamma 90.00
loop_
_atom_site_label
_atom_site_type_symbol
_atom_site_fract_x
_atom_site_fract_y
_atom_site_fract_z
_atom_site_occupancy
Bi1 Bi 0.000 0.000 0.000 1
Ir1 Ir 0.500 0.500 0.500 1
N1 N 0.500 0.500 0.000 1
O1 O 0.000 0.500 0.500 1
# Formation energy (no corrections) ... 0.00 eV/atom
# Total magnetization ... 0.00 μB per cell
# E ... -6.199 eV per atom